Entry 1:
Density functional theory data (PBEsol) for crystalline KTi2PtS at its relaxed geometry.

abc: 4.5774 4.5774 4.6716
angles: 90.00 90.00 90.00
Closest atoms and distances in Å follow each position.
Space group P4/mmm (No. 123)
Inequivalent atoms, fractional coordinates:
K: 0.0000 0.0000 0.0000 [1 per cell]  4 Pt 3.24, 8 Ti 3.27
Ti: 0.0000 0.5000 0.5000 [2 per cell]  2 S 2.29
Pt: 0.5000 0.5000 0.0000 [1 per cell]  2 S 2.34
S: 0.5000 0.5000 0.5000 [1 per cell]  4 Ti 2.29, 2 Pt 2.34

## Properties
V: 97.9 Å³/f.u.
formation energy from raw total energies: 0.073 eV/atom

---

Entry 2:
Density functional theory data (PBEsol) for crystalline BaNaHg2 at its relaxed geometry.

abc: 7.8145 7.8145 7.8145
angles: 90.00 90.00 90.00
Closest atoms and distances in Å follow each position.
Space group Fm-3m (No. 225)
Inequivalent atoms, fractional coordinates:
Ba: 0.0000 0.0000 0.0000 [4 per cell]  8 Hg 3.38
Na: 0.0000 0.0000 0.5000 [4 per cell]  8 Hg 3.38
Hg: 0.2500 0.2500 0.2500 [8 per cell]  4 Ba 3.38, 4 Na 3.38

## Properties
V: 119.3 Å³/f.u.
total DFT energy (no corrections): -1.567 eV per atom